Density functional theory data (PBE-GGA) for AcCdSi2Pd2 after structural relaxation.

Calculated values
Formation energy (no corrections) = -0.59 eV per atom
Calculated total energy = -0.183 Ha/atom
Calculated density = 8.31 Mg/m³

a b c (Å): 4.3493 4.3493 7.4207
angles (deg): 90.00 90.00 120.00
Positions (direct):
Si: 0.6667 0.3333 0.2860
Si: 0.3333 0.6667 0.7140
Pd: 0.6667 0.3333 0.6692
Pd: 0.3333 0.6667 0.3308
Cd: 0.0000 0.0000 0.5000
Ac: 0.0000 0.0000 0.0000